Entry from Alexandria: a relaxed Ho2MgSc4 crystal (PBE).

Structure (POSCAR):
```
Ho2MgSc4
1.0
1.6552 -16.8571 0.0000
1.6552 16.8571 0.0000
0.0000 0.0000 3.3041
Ho Mg Sc
2 1 4
Direct
0.2045 0.7955 0.0000 Ho
0.7955 0.2045 0.0000 Ho
0.5000 0.5000 0.5000 Mg
0.0657 0.9343 0.0000 Sc
0.3674 0.6326 0.5000 Sc
0.6326 0.3674 0.5000 Sc
0.9343 0.0657 0.0000 Sc
```

Summary:
The space group is No. 65. The excess energy over the best structure of this formula in the dataset is 0.000 eV per atom. Its calculated volume is 184.4 Å³/cell. The formation energy from the elements is 70 meV/atom.

Entry from Alexandria: a relaxed Y4AlAg crystal (PBE).

Structure (POSCAR):
```
Y4AlAg
1.0
0.0000 4.3993 4.3993
4.3993 0.0000 4.3993
4.3993 4.3993 0.0000
Y Al Ag
4 1 1
Direct
0.3759 0.3759 0.3759 Y
0.3759 0.3759 0.8724 Y
0.3759 0.8724 0.3759 Y
0.8724 0.3759 0.3759 Y
0.7500 0.7500 0.7500 Al
0.0000 0.0000 0.0000 Ag
```

Summary:
The space group is No. 216. The excess energy over the best structure of this formula in the dataset is 0.656 eV per atom. Its calculated volume is 170.3 Å³/cell. The formation energy from the elements is 428 meV/atom.

Entry from Alexandria: a relaxed Ac2MgNi3As4 crystal (PBE).

Structure (POSCAR):
```
Ac2MgNi3As4
1.0
4.3707 0.0000 0.0000
0.0000 4.3707 0.0000
0.0000 0.0000 10.1590
Ac Mg Ni As
2 1 3 4
Direct
0.0000 0.5000 0.2365 Ac
0.5000 0.0000 0.7635 Ac
0.0000 0.0000 0.5000 Mg
0.0000 0.5000 0.8940 Ni
0.5000 0.0000 0.1060 Ni
0.5000 0.5000 0.5000 Ni
0.0000 0.0000 0.0000 As
0.0000 0.5000 0.6453 As
0.5000 0.0000 0.3547 As
0.5000 0.5000 0.0000 As
```

Summary:
The space group is No. 115. Its calculated volume is 194.1 Å³/cell. The formation energy from the elements is -802 meV/atom.

Entry from Alexandria: a relaxed MnAs crystal (PBE).

Structure (POSCAR):
```
MnAs
1.0
9.3384 0.0000 0.0000
-4.6692 8.0873 0.0000
0.0000 0.0000 3.0801
Mn As
6 6
Direct
0.0823 0.4614 0.2500 Mn
0.3790 0.9177 0.2500 Mn
0.4614 0.3790 0.7500 Mn
0.5386 0.6210 0.2500 Mn
0.6210 0.0823 0.7500 Mn
0.9177 0.5386 0.7500 Mn
0.0969 0.7241 0.2500 As
0.2759 0.3729 0.2500 As
0.3729 0.0969 0.7500 As
0.6271 0.9031 0.2500 As
0.7241 0.6271 0.7500 As
0.9031 0.2759 0.7500 As
```

Summary:
The space group is No. 176. Its calculated volume is 232.6 Å³/cell. The formation energy from the elements is 192 meV/atom.

Entry from Alexandria: a relaxed TbHoIn crystal (PBE).

Structure (POSCAR):
```
TbHoIn
1.0
4.6229 0.0000 0.0000
0.0000 4.6229 0.0000
0.0000 0.0000 8.3169
Tb Ho In
2 2 2
Direct
0.2500 0.2500 0.1483 Tb
0.7500 0.7500 0.8517 Tb
0.2500 0.7500 0.5000 Ho
0.7500 0.2500 0.5000 Ho
0.2500 0.2500 0.7700 In
0.7500 0.7500 0.2300 In
```

Summary:
The space group is No. 129. The excess energy over the best structure of this formula in the dataset is 0.043 eV per atom. Its calculated volume is 177.7 Å³/cell. The formation energy from the elements is -270 meV/atom.

Entry from Alexandria: a relaxed NaLiZnTe2 crystal (PBE).

Structure (POSCAR):
```
NaLiZnTe2
1.0
7.0420 0.0000 0.0000
0.0000 6.4632 0.0000
-0.0102 0.0000 7.3283
Na Li Zn Te
2 2 2 4
Direct
0.0000 0.0006 0.2500 Na
0.0000 0.9994 0.7500 Na
0.5000 0.5004 0.2500 Li
0.5000 0.4996 0.7500 Li
0.5000 0.0000 0.0000 Zn
0.5000 0.0000 0.5000 Zn
0.2593 0.2791 0.9996 Te
0.2593 0.7209 0.4996 Te
0.7407 0.2791 0.5004 Te
0.7407 0.7209 0.0004 Te
```

Summary:
The uncorrected formation energy comes out at -0.67 eV per atom. The space group is No. 13. Its calculated volume is 333.5 Å³/cell.

Entry from Alexandria: a relaxed RbBe4Ge3O12 crystal (PBE).

Structure (POSCAR):
```
RbBe4Ge3O12
1.0
5.0136 2.8946 2.4399
-5.0136 2.8946 2.4399
0.0000 -5.7892 2.4399
Rb Be Ge O
1 4 3 12
Direct
0.0000 0.0000 0.0000 Rb
0.0619 0.5000 0.9381 Be
0.5000 0.5000 0.5000 Be
0.5000 0.9381 0.0619 Be
0.9381 0.0619 0.5000 Be
0.0000 0.5658 0.4342 Ge
0.4342 0.0000 0.5658 Ge
0.5658 0.4342 0.0000 Ge
0.0470 0.6153 0.7513 O
0.0937 0.9063 0.5000 O
0.2487 0.3847 0.9530 O
0.3420 0.6580 0.5000 O
0.3847 0.9530 0.2487 O
0.5000 0.0937 0.9063 O
0.5000 0.3420 0.6580 O
0.6153 0.7513 0.0470 O
0.6580 0.5000 0.3420 O
0.7513 0.0470 0.6153 O
0.9063 0.5000 0.0937 O
0.9530 0.2487 0.3847 O
```

Summary:
The uncorrected formation energy comes out at -1.68 eV per atom. The space group is No. 155. Its calculated volume is 212.4 Å³/cell.

Entry from Alexandria: a relaxed MgTl2Re crystal (PBE).

Structure (POSCAR):
```
MgTl2Re
1.0
0.0000 3.5288 3.5288
3.5288 0.0000 3.5288
3.5288 3.5288 0.0000
Mg Tl Re
1 2 1
Direct
0.0000 0.0000 0.0000 Mg
0.5000 0.5000 0.5000 Tl
0.7500 0.7500 0.7500 Tl
0.2500 0.2500 0.2500 Re
```

Summary:
The space group is No. 216. The excess energy over the best structure of this formula in the dataset is 0.406 eV per atom. Its calculated volume is 87.9 Å³/cell. The formation energy from the elements is 994 meV/atom.

Among the records above, which one has the highest calculated volume?
NaLiZnTe2

calculated volume of number 2 (Y4AlAg)?
170.3 Å³/cell

What is the formula in the seventh record?
RbBe4Ge3O12

Among the records above, which one has the highest calculated volume?
NaLiZnTe2